No. 1
This record from the Alexandria database describes a relaxed structure of CaPrNdMg. The functional is PBE.

a = 3.705 Å, b = 3.705 Å, c = 9.886 Å
α = 90.00°, β = 90.00°, γ = 90.00°
Atoms (fractional coordinates):
Ca1 0.000 0.000 0.000
Pr1 0.500 0.500 0.708
Nd1 0.000 0.000 0.453
Mg1 0.500 0.500 0.229

The total energy is -3.311 eV/atom. For the distance to the lowest polymorph of the same formula, the calculation gives 0 meV/atom. Its formation energy is -0.025 eV/atom. The calculated volume comes out at 136 Å³ per cell. The symmetry is P4mm (99).

---

No. 2
This record from the Alexandria database describes a relaxed structure of Ca3Nd3MgS8. The functional is PBE.

a = 8.073 Å, b = 8.073 Å, c = 8.073 Å
α = 59.73°, β = 59.73°, γ = 59.73°
Atoms (fractional coordinates):
Ca1 0.000 0.500 0.500
Ca2 0.500 0.000 0.500
Ca3 0.500 0.500 0.000
Nd1 0.000 0.000 0.500
Nd2 0.000 0.500 0.000
Nd3 0.500 0.000 0.000
Mg1 0.500 0.500 0.500
S1 0.251 0.251 0.251
S2 0.264 0.264 0.736
S3 0.264 0.736 0.264
S4 0.264 0.736 0.736
S5 0.736 0.264 0.264
S6 0.736 0.264 0.736
S7 0.736 0.736 0.264
S8 0.749 0.749 0.749

The total energy is -5.625 eV/atom. The calculated volume comes out at 370 Å³ per cell. Its raw formation energy is -1.96 eV per atom. The symmetry is R-3m (166).

---

No. 3
This record from the Alexandria database describes a relaxed structure of CaNdMgSc. The functional is PBE.

a = 5.550 Å, b = 5.550 Å, c = 5.550 Å
α = 60.00°, β = 60.00°, γ = 60.00°
Atoms (fractional coordinates):
Ca1 0.000 0.000 0.000
Nd1 0.500 0.500 0.500
Mg1 0.250 0.250 0.250
Sc1 0.750 0.750 0.750

The total energy is -3.581 eV/atom. Its formation energy is 0.093 eV/atom. The calculated volume comes out at 121 Å³ per cell. The symmetry is F-43m (216).

---

No. 4
This record from the Alexandria database describes a relaxed structure of Ca3Nd3MgSe8. The functional is PBE.

a = 8.417 Å, b = 8.417 Å, c = 8.417 Å
α = 59.59°, β = 59.59°, γ = 59.59°
Atoms (fractional coordinates):
Ca1 0.000 0.500 0.500
Ca2 0.500 0.000 0.500
Ca3 0.500 0.500 0.000
Nd1 0.000 0.000 0.500
Nd2 0.000 0.500 0.000
Nd3 0.500 0.000 0.000
Mg1 0.500 0.500 0.500
Se1 0.251 0.251 0.251
Se2 0.262 0.262 0.738
Se3 0.262 0.738 0.262
Se4 0.262 0.738 0.738
Se5 0.738 0.262 0.262
Se6 0.738 0.262 0.738
Se7 0.738 0.738 0.262
Se8 0.749 0.749 0.749

The total energy is -5.138 eV/atom. The calculated volume comes out at 418 Å³ per cell. Its raw formation energy is -1.82 eV per atom. The symmetry is R-3m (166).

---

No. 5
This record from the Alexandria database describes a relaxed structure of Ca2NdMg2Sn2. The functional is PBE.

a = 9.470 Å, b = 9.470 Å, c = 9.470 Å
α = 30.64°, β = 30.64°, γ = 30.64°
Atoms (fractional coordinates):
Ca1 0.134 0.134 0.134
Ca2 0.866 0.866 0.866
Nd1 0.000 0.000 0.000
Mg1 0.410 0.410 0.410
Mg2 0.590 0.590 0.590
Sn1 0.263 0.263 0.263
Sn2 0.737 0.737 0.737

The total energy is -3.265 eV/atom. Its formation energy is -0.413 eV/atom. The calculated volume comes out at 196 Å³ per cell. The symmetry is R-3m (166).

---

No. 6
This record from the Alexandria database describes a relaxed structure of CaTbNdMg. The functional is PBE.

a = 5.649 Å, b = 5.649 Å, c = 5.649 Å
α = 60.00°, β = 60.00°, γ = 60.00°
Atoms (fractional coordinates):
Ca1 0.000 0.000 0.000
Tb1 0.250 0.250 0.250
Nd1 0.750 0.750 0.750
Mg1 0.500 0.500 0.500

The total energy is -3.196 eV/atom. For the distance to the lowest polymorph of the same formula, the calculation gives 71 meV/atom. Its formation energy is 0.053 eV/atom. The calculated volume comes out at 127 Å³ per cell. The symmetry is F-43m (216).

---

No. 7
This record from the Alexandria database describes a relaxed structure of CaTbNdMg. The functional is PBE.

a = 3.653 Å, b = 3.653 Å, c = 9.783 Å
α = 90.00°, β = 90.00°, γ = 90.00°
Atoms (fractional coordinates):
Ca1 0.000 0.000 0.000
Tb1 0.000 0.000 0.454
Nd1 0.500 0.500 0.704
Mg1 0.500 0.500 0.236

The total energy is -3.267 eV/atom. For the distance to the lowest polymorph of the same formula, the calculation gives 0 meV/atom. Its formation energy is -0.018 eV/atom. The calculated volume comes out at 131 Å³ per cell. The symmetry is P4mm (99).

---

No. 8
This record from the Alexandria database describes a relaxed structure of CaNdMgTl. The functional is PBE.

a = 5.500 Å, b = 5.500 Å, c = 5.500 Å
α = 60.00°, β = 60.00°, γ = 60.00°
Atoms (fractional coordinates):
Ca1 0.000 0.000 0.000
Nd1 0.500 0.500 0.500
Mg1 0.750 0.750 0.750
Tl1 0.250 0.250 0.250

The total energy is -2.965 eV/atom. Its formation energy is -0.282 eV/atom. The calculated volume comes out at 118 Å³ per cell. The symmetry is F-43m (216).

---

No. 9
This record from the Alexandria database describes a relaxed structure of CaNdTmMg. The functional is PBE.

a = 5.616 Å, b = 5.616 Å, c = 5.616 Å
α = 60.00°, β = 60.00°, γ = 60.00°
Atoms (fractional coordinates):
Ca1 0.000 0.000 0.000
Nd1 0.250 0.250 0.250
Tm1 0.750 0.750 0.750
Mg1 0.500 0.500 0.500

The total energy is -3.135 eV/atom. For the distance to the lowest polymorph of the same formula, the calculation gives 84 meV/atom. Its formation energy is 0.074 eV/atom. The calculated volume comes out at 125 Å³ per cell. The symmetry is F-43m (216).

---

No. 10
This record from the Alexandria database describes a relaxed structure of CaNdTmMg. The functional is PBE.

a = 3.633 Å, b = 3.633 Å, c = 9.717 Å
α = 90.00°, β = 90.00°, γ = 90.00°
Atoms (fractional coordinates):
Ca1 0.000 0.000 0.000
Nd1 0.500 0.500 0.701
Tm1 0.000 0.000 0.453
Mg1 0.500 0.500 0.239

The total energy is -3.219 eV/atom. For the distance to the lowest polymorph of the same formula, the calculation gives 0 meV/atom. Its formation energy is -0.011 eV/atom. The calculated volume comes out at 128 Å³ per cell. The symmetry is P4mm (99).

---

No. 11
This record from the Alexandria database describes a relaxed structure of CaNdYMg. The functional is PBE.

a = 5.651 Å, b = 5.651 Å, c = 5.651 Å
α = 60.00°, β = 60.00°, γ = 60.00°
Atoms (fractional coordinates):
Ca1 0.000 0.000 0.000
Nd1 0.250 0.250 0.250
Y1 0.750 0.750 0.750
Mg1 0.500 0.500 0.500

The total energy is -3.662 eV/atom. For the distance to the lowest polymorph of the same formula, the calculation gives 65 meV/atom. Its formation energy is 0.045 eV/atom. The calculated volume comes out at 128 Å³ per cell. The symmetry is F-43m (216).

---

No. 12
This record from the Alexandria database describes a relaxed structure of CaNdYMg. The functional is PBE.

a = 3.656 Å, b = 3.656 Å, c = 9.780 Å
α = 90.00°, β = 90.00°, γ = 90.00°
Atoms (fractional coordinates):
Ca1 0.000 0.000 0.000
Nd1 0.500 0.500 0.704
Y1 0.000 0.000 0.452
Mg1 0.500 0.500 0.235

The total energy is -3.727 eV/atom. For the distance to the lowest polymorph of the same formula, the calculation gives 0 meV/atom. Its formation energy is -0.020 eV/atom. The calculated volume comes out at 131 Å³ per cell. The symmetry is P4mm (99).